Record 1
Below is crystalline SbOsBr2 at its relaxed geometry, with properties calculated at the PBE level.

Output
**Crystal system**: trigonal
**Space group**: No. 160
**Offset from the most stable computed form**: 10 kJ/mol of formula units
**VASP energy**: -4.369 eV per atom
**Energy relative to the elements, uncorrected**: 1.22 eV per formula unit

Unit cell a=8.9604 b=8.9604 c=8.9604 alpha=24.44 beta=24.44 gamma=24.44
With the nearest neighbours (Å) after each atom.
Sites, in units of the cell vectors:
Sb: 0.0000 0.0000 0.0000  3 Os 2.60
Os: 0.2799 0.2799 0.2799  3 Sb 2.60, 3 Br 2.73
Br: 0.5505 0.5505 0.5505  3 Os 2.73
Br: 0.7495 0.7495 0.7495  3 Sb 3.08

***

Record 2
Below is crystalline LaSmNp at its relaxed geometry, with properties calculated at the PBE level.

Output
**Crystal system**: monoclinic
**Space group**: No. 12
**Formation enthalpy at 0 K**: 0.24 eV per atom
**VASP energy**: -7.293 eV per atom

Unit cell a=8.7137 b=8.7137 c=6.1409 alpha=101.87 beta=101.87 gamma=23.87
With the nearest neighbours (Å) after each atom.
Sites, in units of the cell vectors:
La: 0.0683 0.0683 0.2962  3 Np 3.32-3.54, 2 La 3.60, 2 Sm 3.70
La: 0.9317 0.9317 0.7038  3 Np 3.32-3.54, 2 La 3.60, 2 Sm 3.70
Sm: 0.3654 0.3654 0.1699  4 Np 3.29-3.60, 2 Sm 3.60
Sm: 0.6346 0.6346 0.8301  4 Np 3.29-3.60, 2 Sm 3.60
Np: 0.2645 0.2645 0.6295  2 Np 2.39
Np: 0.7355 0.7355 0.3705  2 Np 2.39

***

Record 3
Below is crystalline CoGeMoS2 at its relaxed geometry, with properties calculated at the PBE level.

Output
**Crystal system**: tetragonal
**Space group**: No. 123
**VASP energy**: -5.612 eV per atom
**Energy relative to the elements, uncorrected**: 2.75 eV per formula unit

Unit cell a=4.6250 b=4.6250 c=4.5995 alpha=90.00 beta=90.00 gamma=90.00
With the nearest neighbours (Å) after each atom.
Sites, in units of the cell vectors:
Co: 0.0000 0.0000 0.0000  2 Mo 2.30
Ge: 0.5000 0.5000 0.0000  8 S 3.26, 4 Co 3.27
Mo: 0.0000 0.0000 0.5000  2 Co 2.30, 4 S 2.31
S: 0.0000 0.5000 0.5000  2 Mo 2.31
S: 0.5000 0.0000 0.5000  2 Mo 2.31

***

Record 4
Below is crystalline Dy3HoRu3 at its relaxed geometry, with properties calculated at the PBE level.

Output
**Crystal system**: trigonal
**Space group**: No. 160
**Offset from the most stable computed form**: 0 kJ/mol of formula units
**Formation enthalpy at 0 K**: -0.37 eV per atom
**VASP energy**: -6.973 eV per atom

Unit cell a=5.8265 b=5.8265 c=5.8265 alpha=109.45 beta=109.45 gamma=109.45
With the nearest neighbours (Å) after each atom.
Sites, in units of the cell vectors:
Dy: 0.1954 0.1954 0.6093  5 Ru 2.79-3.12
Dy: 0.1954 0.6093 0.1954  5 Ru 2.79-3.12
Dy: 0.6093 0.1954 0.1954  5 Ru 2.79-3.12
Ho: 0.7811 0.7811 0.7811  6 Ru 2.79-3.12
Ru: 0.1957 0.6957 0.6957  2 Ho 2.79-3.12, 5 Dy 2.79-3.12
Ru: 0.6957 0.1957 0.6957  2 Ho 2.79-3.12, 5 Dy 2.79-3.12
Ru: 0.6957 0.6957 0.1957  2 Ho 2.79-3.12, 5 Dy 2.79-3.12

***

Density readings, ordered: 7.234 9.474 4.922 10.415 Mg/m³